1.
A relaxed KRb2ScI6 crystal. Source: Alexandria via LeMat-Bulk, functional GGA-PBE.

Summary:
The total magnetization comes out at 0.0 μB per cell. As for the polymorph energy (0 for the lowest one): 0.016 eV per atom.

a b c (Å): 12.4855 12.4855 12.4855
angles (deg): 90.00 90.00 90.00
With the nearest neighbours (Å) after each atom.
Space group Fm-3m (No. 225)
Inequivalent atoms, fractional coordinates:
K (0.0000, 0.0000, 0.0000) (multiplicity 4)  6 I 3.35
Rb (0.2500, 0.2500, 0.2500) (multiplicity 8)  12 I 4.42
Sc (0.0000, 0.0000, 0.5000) (multiplicity 4)  6 I 2.89
I (0.0000, 0.0000, 0.2686) (multiplicity 24)  1 Sc 2.89

=====

2.
A relaxed KRbSeI crystal. Source: Alexandria via LeMat-Bulk, functional GGA-PBE.

Summary:
The total magnetization comes out at 4.1 μB per cell.

a b c (Å): 8.5099 8.5099 8.5099
angles (deg): 90.00 90.00 90.00
With the nearest neighbours (Å) after each atom.
Space group F-43m (No. 216)
Inequivalent atoms, fractional coordinates:
K (0.0000, 0.0000, 0.0000) (multiplicity 4)  4 I 3.68, 4 Se 3.68
Rb (0.0000, 0.0000, 0.5000) (multiplicity 4)  4 Se 3.68, 4 I 3.68
Se (0.2500, 0.2500, 0.2500) (multiplicity 4)  4 K 3.68, 4 Rb 3.68
I (0.2500, 0.2500, 0.7500) (multiplicity 4)  4 K 3.68, 4 Rb 3.68

=====

3.
A relaxed K2RbSmI6 crystal. Source: Alexandria via LeMat-Bulk, functional GGA-PBE.

Summary:
The total magnetization comes out at 0.0 μB per cell.

a b c (Å): 8.8000 8.8000 23.1945
angles (deg): 90.00 90.00 120.00
With the nearest neighbours (Å) after each atom.
Space group R3 (No. 146, hexagonal axes)
Inequivalent atoms, fractional coordinates:
K (0.0000, 0.0000, 0.0000) (multiplicity 3)  6 I 3.51-3.65
K (0.0000, 0.0000, 0.4886) (multiplicity 3)  6 I 3.59-3.65
Rb (0.0000, 0.0000, 0.1986) (multiplicity 3)  6 I 3.62-3.79
Sm (0.0000, 0.0000, 0.6883) (multiplicity 3)  6 I 3.11-3.12
I (0.0224, 0.3863, 0.4277) (multiplicity 9)  1 Sm 3.11
I (0.0553, 0.6677, 0.2719) (multiplicity 9)  1 Sm 3.12

=====

no.,E (eV/cell),ΔE_f (raw) (meV/atom)
1,-128.61,-1349
2,-43.13,-921
3,-95.25,-1457